## PrLuSc2 (PBE)

Data for a relaxed PrLuSc2 crystal.

Results
Energy relative to the elements = 83 meV per atom
Total magnetization = 0.0 Bohr magnetons per cell
Electronic total energy = -21.63 eV for the cell shown

Cell: 3.8787 3.8787 7.5966 Å, 90.00 90.00 90.00°
With the nearest neighbours (Å) after each atom.
Fractional coordinates of all 4 atoms:
Sc  0.0000  0.0000  0.7662  4 Lu 3.27, 4 Pr 3.41, 1 Sc 3.55
Pr  0.5000  0.5000  0.5000  8 Sc 3.41, 2 Lu 3.80
Lu  0.5000  0.5000  0.0000  8 Sc 3.27
Sc  0.0000  0.0000  0.2338  4 Lu 3.27, 4 Pr 3.41, 1 Sc 3.55